#i
An optimized crystal structure of SrPm2Sn, computed with PBE.

Unit cell a=4.2831 b=4.2831 c=7.2994 alpha=90.00 beta=90.00 gamma=90.00
Fractional coordinates of all 4 atoms:
Pm1 0.0000 0.0000 0.2891
Pm2 0.0000 0.0000 0.7109
Sn1 0.5000 0.5000 0.5000
Sr1 0.5000 0.5000 0.0000

Results
symmetry = No. 123
total magnetization = 0.00 Bohr magnetons per cell



#ii
An optimized crystal structure of SrPm2Sn, computed with PBE.

Unit cell a=5.6384 b=5.6384 c=5.6384 alpha=60.00 beta=60.00 gamma=60.00
Fractional coordinates of all 4 atoms:
Sr1 0.0000 0.0000 0.0000
Pm1 0.2500 0.2500 0.2500
Pm2 0.7500 0.7500 0.7500
Sn1 0.5000 0.5000 0.5000

Results
symmetry = No. 225
total magnetization = 0.01 Bohr magnetons per cell



#iii
An optimized crystal structure of SrPm2Sn, computed with PBE.

Unit cell a=3.8284 b=3.8284 c=12.0970 alpha=80.90 beta=80.90 gamma=60.00
Fractional coordinates of all 4 atoms:
Pm1 0.1018 0.1018 0.6945
Pm2 0.8982 0.8982 0.3055
Sn1 0.5000 0.5000 0.5000
Sr1 0.0000 0.0000 0.0000

Results
symmetry = No. 166
total magnetization = 0.00 Bohr magnetons per cell



#i is the most stable structure; the next one sits 52 meV/atom above it.



#i
An optimized crystal structure of Tb2PmSn, computed with PBE.

Unit cell a=3.5880 b=3.5880 c=11.1987 alpha=80.78 beta=80.78 gamma=60.00
Fractional coordinates of all 4 atoms:
Tb1 0.2446 0.2446 0.2662
Tb2 0.7554 0.7554 0.7338
Pm1 0.0000 0.0000 0.0000
Sn1 0.5000 0.5000 0.5000

Results
symmetry = No. 166
total magnetization = 0.00 Bohr magnetons per cell



#ii
An optimized crystal structure of Tb2PmSn, computed with PBE.

Unit cell a=4.1175 b=4.1175 c=6.9877 alpha=90.00 beta=90.00 gamma=90.00
Fractional coordinates of all 4 atoms:
Tb1 0.0000 0.0000 0.2795
Sn1 0.5000 0.5000 0.5000
Tb2 0.0000 0.0000 0.7205
Pm1 0.5000 0.5000 0.0000

Results
symmetry = No. 123
total magnetization = 0.00 Bohr magnetons per cell



#ii is the most stable structure; the next one sits 95 meV/atom above it.



#i
An optimized crystal structure of Tb2PmSn, computed with PBE.

Unit cell a=4.8411 b=4.8642 c=4.8642 alpha=90.00 beta=90.00 gamma=90.00
Fractional coordinates of all 4 atoms:
Sn1 0.5000 0.0000 0.0000
Pm1 0.5000 0.5000 0.5000
Tb1 0.0000 0.5000 0.0000
Tb2 0.0000 0.0000 0.5000

Results
symmetry = No. 123
total magnetization = 0.00 Bohr magnetons per cell



#ii
An optimized crystal structure of Tb2PmSn, computed with PBE.

Unit cell a=5.2203 b=6.9097 c=6.8187 alpha=77.18 beta=90.00 gamma=90.00
Fractional coordinates of all 8 atoms:
Tb1 0.2500 0.1162 0.7327
Sn1 0.2500 0.1404 0.2133
Tb2 0.7500 0.3671 0.9181
Pm1 0.2500 0.6502 0.5848
Tb3 0.2500 0.6329 0.0819
Pm2 0.7500 0.3498 0.4152
Tb4 0.7500 0.8838 0.2673
Sn2 0.7500 0.8596 0.7867

Results
symmetry = No. 11
total magnetization = 0.00 Bohr magnetons per cell



#iii
An optimized crystal structure of Tb2PmSn, computed with PBE.

Unit cell a=5.4540 b=5.4540 c=5.4540 alpha=60.00 beta=60.00 gamma=60.00
Fractional coordinates of all 4 atoms:
Tb1 0.7500 0.7500 0.7500
Pm1 0.0000 0.0000 0.0000
Tb2 0.2500 0.2500 0.2500
Sn1 0.5000 0.5000 0.5000

Results
symmetry = No. 225
total magnetization = 0.12 Bohr magnetons per cell



#i is the most stable structure; the next one sits 45 meV/atom above it.



#i
An optimized crystal structure of Tb2PmSn, computed with PBE.

Unit cell a=3.6029 b=3.6029 c=11.1588 alpha=80.71 beta=80.71 gamma=60.00
Fractional coordinates of all 4 atoms:
Tb1 0.2563 0.2563 0.2311
Sn1 0.6665 0.6665 0.0006
Tb2 0.0772 0.0772 0.7683
Pm1 0.5000 0.5000 0.5001

Results
symmetry = No. 160
total magnetization = 0.00 Bohr magnetons per cell



#ii
An optimized crystal structure of Tb2PmSn, computed with PBE.

Unit cell a=5.5094 b=7.0091 c=6.8732 alpha=90.00 beta=90.00 gamma=113.14
Fractional coordinates of all 8 atoms:
Sn1 0.1728 0.3457 0.2500
Pm1 0.0699 0.1398 0.7500
Tb1 0.3671 0.7342 0.5189
Tb2 0.3671 0.7342 0.9811
Pm2 0.9301 0.8602 0.2500
Sn2 0.8272 0.6543 0.7500
Tb3 0.6329 0.2658 0.0189
Tb4 0.6329 0.2658 0.4811

Results
symmetry = No. 63
total magnetization = 0.00 Bohr magnetons per cell



#ii is the most stable structure; the next one sits 86 meV/atom above it.



#i
An optimized crystal structure of TbPm2Sn2, computed with PBE.

Unit cell a=4.5008 b=8.1700 c=8.1700 alpha=90.00 beta=90.00 gamma=90.00
Fractional coordinates of all 10 atoms:
Pm1 0.5000 0.3289 0.1711
Sn1 0.0000 0.6307 0.1307
Pm2 0.5000 0.6711 0.8289
Tb1 0.0000 0.0000 0.0000
Sn2 0.0000 0.1307 0.3693
Sn3 0.0000 0.8693 0.6307
Tb2 0.0000 0.5000 0.5000
Pm3 0.5000 0.8289 0.3289
Pm4 0.5000 0.1711 0.6711
Sn4 0.0000 0.3693 0.8693

Results
symmetry = No. 127
total magnetization = 0.00 Bohr magnetons per cell



#ii
An optimized crystal structure of TbPm2Sn2, computed with PBE.

Unit cell a=5.0561 b=6.5618 c=9.5851 alpha=90.00 beta=105.29 gamma=90.00
Fractional coordinates of all 10 atoms:
Sn1 0.5756 0.9775 0.1511
Sn2 0.1911 0.4755 0.3823
Sn3 0.8089 0.9755 0.6177
Tb1 0.3967 0.9781 0.7934
Tb2 0.6033 0.4781 0.2066
Pm1 0.1924 0.9757 0.3847
Pm2 0.8076 0.4757 0.6153
Pm3 0.9996 0.7275 0.9992
Pm4 0.0004 0.2275 0.0008
Sn4 0.4244 0.4775 0.8489

Results
symmetry = No. 36
total magnetization = 0.00 Bohr magnetons per cell



#i is the most stable structure; the next one sits 74 meV/atom above it.



#i
An optimized crystal structure of TbPmTlSn, computed with PBE.

Unit cell a=4.6246 b=4.3823 c=6.2560 alpha=90.00 beta=111.69 gamma=90.00
Fractional coordinates of all 4 atoms:
Pm1 0.8651 0.5000 0.7302
Tl1 0.4094 0.0000 0.8187
Sn1 0.5897 0.5000 0.1794
Tb1 0.1358 0.0000 0.2717

Results
symmetry = No. 38
total magnetization = 0.00 Bohr magnetons per cell



#ii
An optimized crystal structure of TbPmTlSn, computed with PBE.

Unit cell a=5.4234 b=5.4234 c=5.4234 alpha=60.00 beta=60.00 gamma=60.00
Fractional coordinates of all 4 atoms:
Tb1 0.0000 0.0000 0.0000
Sn1 0.2500 0.2500 0.2500
Tl1 0.7500 0.7500 0.7500
Pm1 0.5000 0.5000 0.5000

Results
symmetry = No. 216
total magnetization = 0.00 Bohr magnetons per cell



#i is the most stable structure; the next one sits 77 meV/atom above it.